[1]
Compound: Re2Os
Source: the Alexandria database
Functional: PBE-GGA
Structure: optimized geometry

Unit cell a=3.8925 b=3.8925 c=12.0127 alpha=80.79 beta=80.79 gamma=90.12
Last column: nearest neighbours and their distance in Å.
Fractional coordinates of all 12 atoms:
Re 0.3340 0.8335 0.3329  6 Os 2.74-2.76, 6 Re 2.75-2.76
Re 0.5835 0.5840 0.8329  6 Os 2.74-2.76, 6 Re 2.75-2.76
Re 0.9998 0.4999 0.9996  8 Re 2.75-2.76, 4 Os 2.75-2.76
Re 0.5001 0.0002 0.0004  8 Re 2.75-2.76, 4 Os 2.75-2.76
Re 0.7502 0.7501 0.5004  8 Re 2.75-2.76, 4 Os 2.75-2.76
Re 0.1665 0.6660 0.6671  6 Os 2.74-2.76, 6 Re 2.75-2.76
Re 0.4160 0.4165 0.1671  6 Os 2.74-2.76, 6 Re 2.75-2.76
Re 0.2499 0.2498 0.4996  8 Re 2.75-2.76, 4 Os 2.75-2.76
Os 0.6666 0.1670 0.6672  2 Os 2.74-2.75, 10 Re 2.74-2.76
Os 0.0833 0.0830 0.8328  2 Os 2.74-2.75, 10 Re 2.74-2.76
Os 0.8330 0.3333 0.3328  2 Os 2.74-2.75, 10 Re 2.74-2.76
Os 0.9170 0.9166 0.1672  2 Os 2.74-2.75, 10 Re 2.74-2.76

The value obtained for the energy above the most stable polymorph in this dataset is 127.3 meV per atom. Its raw total energy is -11.99 eV/atom. The formation energy from the elements comes out at 15 kJ/mol of formula units. As for the density of states at the Fermi level: 11.0 states/eV per cell.


[2]
Compound: Lu3O2F5
Source: the Alexandria database
Functional: PBE-GGA
Structure: optimized geometry

Unit cell a=5.2614 b=5.5222 c=16.9860 alpha=90.00 beta=90.00 gamma=90.00
Last column: nearest neighbours and their distance in Å.
Fractional coordinates of all 40 atoms:
O 0.2038 0.0411 0.1688  4 Lu 2.16-2.28
O 0.7038 0.4589 0.6688  4 Lu 2.16-2.28
O 0.2038 0.0411 0.3312  4 Lu 2.16-2.28
O 0.7962 0.9589 0.6688  4 Lu 2.16-2.28
O 0.7962 0.9589 0.8312  4 Lu 2.16-2.28
O 0.7038 0.4589 0.8312  4 Lu 2.16-2.28
O 0.2962 0.5411 0.1688  4 Lu 2.16-2.28
O 0.2962 0.5411 0.3312  4 Lu 2.16-2.28
F 0.7883 0.3778 0.5153  3 Lu 2.23-2.34
F 0.1785 0.3365 0.8753  2 Lu 2.16-2.22
F 0.8215 0.6635 0.1247  2 Lu 2.16-2.22
F 0.1785 0.3365 0.6247  2 Lu 2.16-2.22
F 0.7117 0.8778 0.9847  3 Lu 2.23-2.34
F 0.6785 0.1635 0.1247  2 Lu 2.16-2.22
F 0.3215 0.8365 0.8753  2 Lu 2.16-2.22
F 0.7883 0.3778 0.9847  3 Lu 2.23-2.34
F 0.2117 0.6222 0.0153  3 Lu 2.23-2.34
F 0.3528 0.1038 0.7500  2 Lu 2.21-2.28
F 0.3215 0.8365 0.6247  2 Lu 2.16-2.22
F 0.2883 0.1222 0.4847  3 Lu 2.23-2.34
F 0.2117 0.6222 0.4847  3 Lu 2.23-2.34
F 0.1472 0.6038 0.7500  2 Lu 2.21-2.28
F 0.2883 0.1222 0.0153  3 Lu 2.23-2.34
F 0.6472 0.8962 0.2500  2 Lu 2.21-2.28
F 0.6785 0.1635 0.3753  2 Lu 2.16-2.22
F 0.8528 0.3962 0.2500  2 Lu 2.21-2.28
F 0.8215 0.6635 0.3753  2 Lu 2.16-2.22
F 0.7117 0.8778 0.5153  3 Lu 2.23-2.34
Lu 0.5447 0.7346 0.7500  2 F 2.21-2.28, 4 O 2.22-2.28
Lu 0.9601 0.6701 0.9026  2 O 2.16-2.18, 5 F 2.16-2.34
Lu 0.5399 0.1701 0.5974  2 O 2.16-2.18, 5 F 2.16-2.34
Lu 0.0399 0.3299 0.4026  2 O 2.16-2.18, 5 F 2.16-2.34
Lu 0.5399 0.1701 0.9026  2 O 2.16-2.18, 5 F 2.16-2.34
Lu 0.4601 0.8299 0.4026  2 O 2.16-2.18, 5 F 2.16-2.34
Lu 0.9601 0.6701 0.5974  2 O 2.16-2.18, 5 F 2.16-2.34
Lu 0.0399 0.3299 0.0974  2 O 2.16-2.18, 5 F 2.16-2.34
Lu 0.4553 0.2654 0.2500  2 F 2.21-2.28, 4 O 2.22-2.28
Lu 0.9553 0.2346 0.7500  2 F 2.21-2.28, 4 O 2.22-2.28
Lu 0.0447 0.7654 0.2500  2 F 2.21-2.28, 4 O 2.22-2.28
Lu 0.4601 0.8299 0.0974  2 O 2.16-2.18, 5 F 2.16-2.34

Its raw total energy is -7.34 eV/atom. The value obtained for the uncorrected formation energy is -3911 kJ/mol of formula units. As for the density of states at the Fermi level: 0.0 states/eV per cell.